A plane-wave DFT calculation with GGA-PBE was carried out for crystalline Mg2IrAu at its relaxed geometry.

POSCAR file:
```
Mg2IrAu
1.0
1.4953 0.8633 8.7710
-1.4953 0.8633 8.7710
0.0000 -1.7266 8.7710
Mg Ir Au
2 1 1
direct
0.2453 0.2453 0.2453 Mg
0.7547 0.7547 0.7547 Mg
0.5000 0.5000 0.5000 Ir
0.0000 0.0000 0.0000 Au
```

SG = No. 166
total DFT energy (no corrections) = -16.38 eV/f.u.

A plane-wave DFT calculation with GGA-PBE was carried out for crystalline CaSc3Pd4 at its relaxed geometry.

POSCAR file:
```
CaSc3Pd4
1.0
2.3605 1.3628 7.9219
-2.3605 1.3628 7.9219
0.0000 -2.7257 7.9219
Ca Sc Pd
1 3 4
direct
0.0000 0.0000 0.0000 Ca
0.2480 0.2480 0.2480 Sc
0.5000 0.5000 0.5000 Sc
0.7520 0.7520 0.7520 Sc
0.1304 0.1304 0.1304 Pd
0.3853 0.3853 0.3853 Pd
0.6147 0.6147 0.6147 Pd
0.8696 0.8696 0.8696 Pd
```

SG = No. 166
total DFT energy (no corrections) = -48.38 eV/f.u.

A plane-wave DFT calculation with GGA-PBE was carried out for crystalline Fe2Ni9Ge at its relaxed geometry.

POSCAR file:
```
Fe2Ni9Ge
1.0
3.5623 0.0000 0.0000
0.0000 3.5623 0.0000
0.0000 0.0000 10.6140
Fe Ni Ge
2 9 1
direct
0.0000 0.0000 0.1652 Fe
0.0000 0.0000 0.8348 Fe
0.0000 0.5000 0.0000 Ni
0.0000 0.5000 0.3301 Ni
0.0000 0.5000 0.6699 Ni
0.5000 0.0000 0.0000 Ni
0.5000 0.0000 0.3301 Ni
0.5000 0.0000 0.6699 Ni
0.5000 0.5000 0.1658 Ni
0.5000 0.5000 0.5000 Ni
0.5000 0.5000 0.8342 Ni
0.0000 0.0000 0.5000 Ge
```

SG = No. 123
total DFT energy (no corrections) = -75.30 eV/f.u.

A plane-wave DFT calculation with GGA-PBE was carried out for crystalline Nd5Tm4In at its relaxed geometry.

POSCAR file:
```
Nd5Tm4In
1.0
-5.3170 5.3170 2.9641
5.3170 -5.3170 2.9641
5.3170 5.3170 -2.9641
Nd Tm In
5 4 1
direct
0.0000 0.0000 0.0000 Nd
0.5325 0.5325 0.6237 Nd
0.5325 0.9088 0.0000 Nd
0.9088 0.5325 0.0000 Nd
0.9088 0.9088 0.3763 Nd
0.2120 0.5330 0.3211 Tm
0.2120 0.8909 0.6789 Tm
0.5330 0.2120 0.3211 Tm
0.8909 0.2120 0.6789 Tm
0.4806 0.4806 0.0000 In
```

excess energy over the best structure of this formula in the dataset = 182 meV per atom
SG = No. 107

A plane-wave DFT calculation with GGA-PBE was carried out for crystalline ReSe2IN at its relaxed geometry.

POSCAR file:
```
ReSe2IN
1.0
5.4736 0.0000 0.0000
0.0000 5.4736 0.0000
0.0000 0.0000 3.9088
Re Se I N
1 2 1 1
direct
0.0000 0.0000 0.0000 Re
0.0000 0.5000 0.5000 Se
0.5000 0.0000 0.5000 Se
0.5000 0.5000 0.5000 I
0.5000 0.5000 0.0000 N
```

excess energy over the best structure of this formula in the dataset = 1689 meV per atom
SG = No. 123

A plane-wave DFT calculation with GGA-PBE was carried out for crystalline Ca2YRe at its relaxed geometry.

POSCAR file:
```
Ca2YRe
1.0
1.6633 0.9603 11.2463
-1.6633 0.9603 11.2463
0.0000 -1.9207 11.2463
Ca Y Re
2 1 1
direct
0.2345 0.2345 0.2345 Ca
0.7655 0.7655 0.7655 Ca
0.0000 0.0000 0.0000 Y
0.5000 0.5000 0.5000 Re
```

excess energy over the best structure of this formula in the dataset = 351 meV per atom
SG = No. 166

A plane-wave DFT calculation with GGA-PBE was carried out for crystalline Mn2AuBr at its relaxed geometry.

POSCAR file:
```
Mn2AuBr
1.0
3.2851 0.0000 0.0000
0.0000 3.2851 0.0000
0.0000 0.0000 7.5277
Mn Au Br
2 1 1
direct
0.0000 0.0000 0.0000 Mn
0.5000 0.5000 0.2089 Mn
0.0000 0.0000 0.3949 Au
0.5000 0.5000 0.8101 Br
```

excess energy over the best structure of this formula in the dataset = 94 meV per atom
SG = No. 99

A plane-wave DFT calculation with GGA-PBE was carried out for crystalline KMo5 at its relaxed geometry.

POSCAR file:
```
KMo5
1.0
4.6293 0.0000 0.0000
0.0000 1.3129 10.2157
0.0000 -1.3129 10.2157
K Mo
1 5
direct
0.0000 0.0000 0.0000 K
0.0000 0.3179 0.3179 Mo
0.0000 0.6815 0.6815 Mo
0.5000 0.2450 0.2450 Mo
0.5000 0.6241 0.6241 Mo
0.5000 0.8666 0.8666 Mo
```

excess energy over the best structure of this formula in the dataset = 0 meV per atom
SG = No. 38

A plane-wave DFT calculation with GGA-PBE was carried out for crystalline MnTePt2 at its relaxed geometry.

POSCAR file:
```
MnTePt2
1.0
2.8480 -3.4242 0.0000
2.8480 3.4242 0.0000
-0.0142 0.0000 3.6466
Mn Te Pt
1 1 2
direct
0.0000 0.0000 0.0000 Mn
0.5000 0.5000 0.0000 Te
0.0000 0.5000 0.5000 Pt
0.5000 0.0000 0.5000 Pt
```

SG = No. 12
total DFT energy (no corrections) = -24.61 eV/f.u.

A plane-wave DFT calculation with GGA-PBE was carried out for crystalline Y2RuF2 at its relaxed geometry.

POSCAR file:
```
Y2RuF2
1.0
-1.7825 1.7825 6.5660
1.7825 -1.7825 6.5660
1.7825 1.7825 -6.5660
Y Ru F
2 1 2
direct
0.1266 0.1266 0.0000 Y
0.8734 0.8734 0.0000 Y
0.5000 0.5000 0.0000 Ru
0.2500 0.7500 0.5000 F
0.7500 0.2500 0.5000 F
```

excess energy over the best structure of this formula in the dataset = 0 meV per atom
SG = No. 139

A plane-wave DFT calculation with GGA-PBE was carried out for crystalline Nd2Mg2Hg at its relaxed geometry.

POSCAR file:
```
Nd2Mg2Hg
1.0
4.5791 -2.6424 0.0000
4.5791 2.6424 0.0000
-3.0397 0.0000 5.7411
Nd Mg Hg
2 2 1
direct
0.1001 0.1001 0.3004 Nd
0.8999 0.8999 0.6996 Nd
0.3219 0.3219 0.9652 Mg
0.6781 0.6781 0.0348 Mg
0.5000 0.5000 0.5000 Hg
```

excess energy over the best structure of this formula in the dataset = 0 meV per atom
SG = No. 12

A plane-wave DFT calculation with GGA-PBE was carried out for crystalline NaAsP2Cl at its relaxed geometry.

POSCAR file:
```
NaAsP2Cl
1.0
5.1060 0.0000 0.0000
0.0000 5.1060 0.0000
0.0000 0.0000 4.6515
Na As P Cl
1 1 2 1
direct
0.0000 0.0000 0.0000 Na
0.5000 0.5000 0.5000 As
0.0000 0.5000 0.0000 P
0.5000 0.0000 0.0000 P
0.0000 0.0000 0.5000 Cl
```

excess energy over the best structure of this formula in the dataset = 930 meV per atom
SG = No. 123